{
  "formula": "CeHoTc",
  "functional": "PBE",
  "state": "relaxed",
  "lattice": [[-0.340, 2.623, 10.674], [-4.427, 2.124, 9.840], [-2.043, -1.217, 10.737]],
  "species": ["Ce", "Ce", "Ho", "Ho", "Tc", "Tc"],
  "fractional_positions": [[0.791, 0.791, 0.791], [0.209, 0.209, 0.209], [0.378, 0.378, 0.378], [0.622, 0.622, 0.622], [0.901, 0.901, 0.901], [0.099, 0.099, 0.099]],
  "ef_ev_per_atom": 0.049,
  "m_tot_mub_per_atom": 0.00,
  "dft_energy_ev_per_atom": -6.910,
  "relative_energy_mev_per_atom": 115
}